Entry 1:
This record from Alexandria via LeMat-Bulk describes a relaxed Ba4TlPtI2 crystal. The functional is PBE.

Cell lengths 8.4703, 4.7023, 9.2673 Å; angles 90.00, 107.05, 90.00 degrees
Fractional coordinates of all 8 atoms:
Ba 0.2230 0.0000 0.2033
Ba 0.2345 0.5000 0.7836
Ba 0.7655 0.5000 0.2164
Ba 0.7770 0.0000 0.7967
Tl 0.5000 0.0000 0.0000
Pt 0.0000 0.5000 0.0000
I 0.0000 0.0000 0.5000
I 0.5000 0.5000 0.5000

Properties
The space-group type is P2/m (10).

Entry 2:
This record from Alexandria via LeMat-Bulk describes a relaxed BaY2PtI crystal. The functional is PBE.

Cell lengths 5.3787, 5.3787, 6.8913 Å; angles 90.00, 90.00, 90.00 degrees
Fractional coordinates of all 5 atoms:
Ba 0.0000 0.0000 0.0000
Y 0.0000 0.5000 0.5000
Y 0.5000 0.0000 0.5000
Pt 0.0000 0.0000 0.5000
I 0.5000 0.5000 0.0000

Properties
The space-group type is P4/mmm (123).

Entry 3:
This record from Alexandria via LeMat-Bulk describes a relaxed Ba6ZnPt2I3 crystal. The functional is PBE.

Cell lengths 8.1271, 8.1271, 9.1896 Å; angles 98.48, 98.48, 120.00 degrees
Fractional coordinates of all 12 atoms:
Ba 0.0805 0.4320 0.7962
Ba 0.2163 0.2163 0.2026
Ba 0.4320 0.0805 0.7962
Ba 0.5680 0.9195 0.2038
Ba 0.7837 0.7837 0.7974
Ba 0.9195 0.5680 0.2038
Zn 0.5000 0.5000 0.0000
Pt 0.1669 0.8331 0.0000
Pt 0.8331 0.1669 0.0000
I 0.0000 0.0000 0.5000
I 0.3361 0.6639 0.5000
I 0.6639 0.3361 0.5000

Properties
The space-group type is C2/m (12).

Entry 4:
This record from Alexandria via LeMat-Bulk describes a relaxed Ba2ZnPtI crystal. The functional is PBE.

Cell lengths 6.1941, 6.1941, 4.9198 Å; angles 90.00, 90.00, 90.00 degrees
Fractional coordinates of all 5 atoms:
Ba 0.0000 0.5000 0.0000
Ba 0.5000 0.0000 0.0000
Zn 0.0000 0.0000 0.5000
Pt 0.0000 0.0000 0.0000
I 0.5000 0.5000 0.5000

Properties
The space-group type is P4/mmm (123).

no.,formation energy from raw total energies (eV per atom),size of the total moment (μB/f.u.)
1,-0.984,0.01
2,-0.625,0.00
3,-1.013,0.32
4,-0.848,0.00